Record 1
Below is Rb3MgI after structural relaxation, with properties calculated at the PBE-GGA level.

```
data_Rb3MgI
_symmetry_space_group_name_H-M 'P m -3 m'
_symmetry_Int_Tables_number 221
_symmetry_space_group_name_Hall '-P 4 2 3'
_cell_length_a 7.074
_cell_length_b 7.074
_cell_length_c 7.074
_cell_angle_alpha 90.00
_cell_angle_beta 90.00
_cell_angle_gamma 90.00
loop_
_atom_site_label
_atom_site_fract_x
_atom_site_fract_y
_atom_site_fract_z
Rb1 0.000 0.000 0.500
Mg1 0.500 0.500 0.500
I1 0.000 0.000 0.000
```

As for the total moment: 0.00 μB per formula unit. Its density is 1912 kg/m3. The total energy is -1.534 eV per atom. The uncorrected formation energy comes out at -0.32 eV/atom. As for the crystal system: cubic. The value obtained for the energy above the lowest structure with this stoichiometry is 0 meV per atom.



Record 2
Below is Rb4MgI6 after structural relaxation, with properties calculated at the PBE-GGA level.

```
data_Rb4MgI6
_symmetry_space_group_name_H-M 'C 1 c 1'
_symmetry_Int_Tables_number 9
_cell_length_a 17.851
_cell_length_b 9.273
_cell_length_c 17.233
_cell_angle_alpha 90.00
_cell_angle_beta 113.21
_cell_angle_gamma 90.00
loop_
_symmetry_equiv_pos_as_xyz
'x,y,z'
'x,-y,z+1/2'
'x+1/2,y+1/2,z'
'x+1/2,-y+1/2,z+1/2'
loop_
_atom_site_label
_atom_site_fract_x
_atom_site_fract_y
_atom_site_fract_z
Rb1 0.000 0.137 0.000
Rb2 0.148 0.348 0.477
Rb3 0.270 0.211 0.829
Rb4 0.432 0.161 0.177
Mg1 0.212 0.256 0.235
I1 0.053 0.302 0.211
I2 0.099 0.301 0.879
I3 0.222 0.021 0.139
I4 0.289 0.481 0.192
I5 0.298 0.183 0.402
I6 0.464 0.261 0.995
```

As for the total moment: 0.27 μB per formula unit. Its density is 2857 kg/m3. The total energy is -2.685 eV per atom. The uncorrected formation energy comes out at -1.34 eV/atom. As for the crystal system: monoclinic.



Record 3
Below is RbMgSb2I after structural relaxation, with properties calculated at the PBE-GGA level.

```
data_RbMgSb2I
_symmetry_space_group_name_H-M 'P 4/m m m'
_symmetry_Int_Tables_number 123
_symmetry_space_group_name_Hall '-P 4 2'
_cell_length_a 6.465
_cell_length_b 6.465
_cell_length_c 6.501
_cell_angle_alpha 90.00
_cell_angle_beta 90.00
_cell_angle_gamma 90.00
loop_
_atom_site_label
_atom_site_fract_x
_atom_site_fract_y
_atom_site_fract_z
Rb1 0.000 0.000 0.000
Mg1 0.500 0.500 0.500
Sb1 0.000 0.500 0.000
I1 0.000 0.000 0.500
```

As for the total moment: 2.42 μB per formula unit. Its density is 2934 kg/m3. The total energy is -1.571 eV per atom. The uncorrected formation energy comes out at 0.90 eV/atom. As for the crystal system: tetragonal. The value obtained for the energy above the lowest structure with this stoichiometry is 1057 meV per atom.



Record 4
Below is RbMgSb2I after structural relaxation, with properties calculated at the PBE-GGA level.

```
data_RbMgSb2I
_symmetry_space_group_name_H-M 'P 4/m m m'
_symmetry_Int_Tables_number 123
_symmetry_space_group_name_Hall '-P 4 2'
_cell_length_a 5.455
_cell_length_b 5.455
_cell_length_c 6.582
_cell_angle_alpha 90.00
_cell_angle_beta 90.00
_cell_angle_gamma 90.00
loop_
_atom_site_label
_atom_site_fract_x
_atom_site_fract_y
_atom_site_fract_z
Rb1 0.000 0.000 0.000
Mg1 0.500 0.500 0.500
Sb1 0.000 0.500 0.500
I1 0.500 0.500 0.000
```

As for the total moment: 0.00 μB per formula unit. Its density is 4071 kg/m3. The total energy is -2.628 eV per atom. The uncorrected formation energy comes out at -0.16 eV/atom. As for the crystal system: tetragonal. The value obtained for the energy above the lowest structure with this stoichiometry is 0 meV per atom.



Record 5
Below is Rb2MgScI6 after structural relaxation, with properties calculated at the PBE-GGA level.

```
data_Rb2MgScI6
_symmetry_space_group_name_H-M 'F m -3 m'
_symmetry_Int_Tables_number 225
_symmetry_space_group_name_Hall '-F 4 2 3'
_cell_length_a 11.874
_cell_length_b 11.874
_cell_length_c 11.874
_cell_angle_alpha 90.00
_cell_angle_beta 90.00
_cell_angle_gamma 90.00
loop_
_atom_site_label
_atom_site_fract_x
_atom_site_fract_y
_atom_site_fract_z
Rb1 0.250 0.250 0.250
Mg1 0.000 0.000 0.000
Sc1 0.000 0.000 0.500
I1 0.000 0.000 0.251
```

As for the total moment: 0.99 μB per formula unit. Its density is 3974 kg/m3. The total energy is -3.066 eV per atom. The uncorrected formation energy comes out at -1.15 eV/atom. As for the crystal system: cubic.



Record 6
Below is Rb2MgSiI6 after structural relaxation, with properties calculated at the PBE-GGA level.

```
data_Rb2MgSiI6
_symmetry_space_group_name_H-M 'F m -3 m'
_symmetry_Int_Tables_number 225
_symmetry_space_group_name_Hall '-F 4 2 3'
_cell_length_a 11.760
_cell_length_b 11.760
_cell_length_c 11.760
_cell_angle_alpha 90.00
_cell_angle_beta 90.00
_cell_angle_gamma 90.00
loop_
_atom_site_label
_atom_site_fract_x
_atom_site_fract_y
_atom_site_fract_z
Rb1 0.250 0.250 0.250
Mg1 0.000 0.000 0.000
Si1 0.000 0.000 0.500
I1 0.000 0.000 0.250
```

As for the total moment: 0.00 μB per formula unit. Its density is 4021 kg/m3. The total energy is -2.697 eV per atom. The uncorrected formation energy comes out at -0.87 eV/atom. As for the crystal system: cubic.